[1]
Material: BaCa4
Method: DFT, PBE
State: relaxed

The structure in POSCAR format:
```
BaCa4
1.0
-2.161 -2.584 -5.293
3.106 -5.290 1.314
-5.004 -2.168 3.101
Ca Ba
4 1
Direct
0.000 0.000 0.000 Ca
0.000 0.500 0.500 Ca
0.500 0.000 0.500 Ca
0.500 0.500 0.000 Ca
0.500 0.500 0.500 Ba
```

The value obtained for the excess energy over the best structure of this formula in the dataset is 0.699 eV/atom. As for the space group: Pm-3m (221). The value obtained for the formation energy is 0.7258 eV per atom. Its raw total energy is -6.3 eV per cell. The size of the total moment is 0.4243 μB/atom.

[2]
Material: Ba3Ca
Method: DFT, PBE
State: relaxed

The structure in POSCAR format:
```
Ba3Ca
1.0
4.329 0.000 0.000
0.000 7.086 0.000
0.000 0.000 7.475
Ba Ca
3 1
Direct
0.500 0.500 0.838 Ba
0.000 0.500 0.330 Ba
0.500 0.000 0.500 Ba
0.000 0.000 0.999 Ca
```

The value obtained for the excess energy over the best structure of this formula in the dataset is 0.012 eV/atom. As for the space group: Pmm2 (25). The value obtained for the formation energy is 0.0350 eV per atom. Its raw total energy is -7.6 eV per cell. The size of the total moment is 0.0001 μB/atom.